Record 1
Material: ThMgPa
Method: DFT, PBE-GGA
State: optimized geometry

Crystal system: tetragonal
ΔE_f, meV/atom: 190
Density of states at the Fermi level, states/eV per cell: 5.81
Space-group type: I4mm (107)

Cell lengths 3.251, 3.251, 8.099 Å; angles 101.58, 101.58, 90.00 degrees
Fractional positions:
Mg (0.996, 0.996, 0.992)
Pa (0.335, 0.335, 0.670)
Th (0.669, 0.669, 0.338)


Record 2
Material: ThMgPa
Method: DFT, PBE-GGA
State: optimized geometry

Crystal system: orthorhombic
ΔE_f, meV/atom: 322
Density of states at the Fermi level, states/eV per cell: 9.27
Space-group type: Fmmm (69)

Cell lengths 5.351, 5.856, 6.573 Å; angles 79.28, 65.98, 62.82 degrees
Fractional positions:
Mg (0.750, 0.500, 0.500)
Mg (0.250, 0.500, 0.500)
Pa (0.823, 0.353, 0.000)
Pa (0.177, 0.647, 0.000)
Th (0.629, 0.000, 0.741)
Th (0.371, 0.000, 0.259)


Record 3
Material: ThMgPa
Method: DFT, PBE-GGA
State: optimized geometry

Crystal system: trigonal
ΔE_f, meV/atom: 185
Density of states at the Fermi level, states/eV per cell: 5.18
Space-group type: P3m1 (156)

Cell lengths 3.272, 3.272, 8.830 Å; angles 90.00, 90.00, 120.00 degrees
Fractional positions:
Mg (0.000, 0.000, 0.006)
Pa (0.667, 0.333, 0.327)
Th (0.333, 0.667, 0.668)


Record 4
Material: YThMgPa
Method: DFT, PBE-GGA
State: optimized geometry

Crystal system: cubic
ΔE_f, meV/atom: 298
Density of states at the Fermi level, states/eV per cell: 6.21
Space-group type: F-43m (216)

Cell lengths 5.426, 5.426, 5.426 Å; angles 60.00, 60.00, 60.00 degrees
Fractional positions:
Y (0.750, 0.750, 0.750)
Mg (0.000, 0.000, 0.000)
Pa (0.500, 0.500, 0.500)
Th (0.250, 0.250, 0.250)


Record 5
Material: Mg2PaTi
Method: DFT, PBE-GGA
State: optimized geometry

Crystal system: trigonal
ΔE_f, meV/atom: 101
Density of states at the Fermi level, states/eV per cell: 5.01
Space-group type: R3m (160)

Cell lengths 3.083, 3.083, 10.796 Å; angles 81.79, 81.79, 60.00 degrees
Fractional positions:
Mg (0.839, 0.839, 0.482)
Mg (0.422, 0.422, 0.734)
Pa (0.998, 0.998, 0.006)
Ti (0.252, 0.252, 0.245)


Record 6
Material: MgPaTlZn
Method: DFT, PBE-GGA
State: optimized geometry

Crystal system: cubic
ΔE_f, meV/atom: 108
Density of states at the Fermi level, states/eV per cell: 4.43
Space-group type: F-43m (216)

Cell lengths 5.060, 5.060, 5.060 Å; angles 60.00, 60.00, 60.00 degrees
Fractional positions:
Mg (0.000, 0.000, 0.000)
Tl (0.750, 0.750, 0.750)
Pa (0.500, 0.500, 0.500)
Zn (0.250, 0.250, 0.250)


Record 7
Material: TmMgPa
Method: DFT, PBE-GGA
State: optimized geometry

Crystal system: tetragonal
ΔE_f, meV/atom: 13
Density of states at the Fermi level, states/eV per cell: 6.03
Space-group type: P4/nmm (129)

Cell lengths 3.337, 3.337, 13.923 Å; angles 90.00, 90.00, 90.00 degrees
Fractional positions:
Pa (0.000, 0.500, 0.582)
Pa (0.500, 0.000, 0.418)
Tm (0.500, 0.000, 0.754)
Tm (0.000, 0.500, 0.246)
Mg (0.000, 0.500, 0.927)
Mg (0.500, 0.000, 0.073)


Record 8
Material: TmMg2Pa
Method: DFT, PBE-GGA
State: optimized geometry

Crystal system: tetragonal
ΔE_f, meV/atom: 164
Density of states at the Fermi level, states/eV per cell: 6.36
Space-group type: P4/mmm (123)

Cell lengths 3.188, 3.188, 9.860 Å; angles 90.00, 90.00, 90.00 degrees
Fractional positions:
Mg (0.000, 0.000, 0.751)
Mg (0.000, 0.000, 0.249)
Pa (0.500, 0.500, 0.500)
Tm (0.500, 0.500, 0.000)


Record 9
Material: TmMgPa
Method: DFT, PBE-GGA
State: optimized geometry

Crystal system: trigonal
ΔE_f, meV/atom: 134
Density of states at the Fermi level, states/eV per cell: 5.23
Space-group type: P3m1 (156)

Cell lengths 3.252, 3.252, 8.573 Å; angles 90.00, 90.00, 120.00 degrees
Fractional positions:
Mg (0.000, 0.000, 0.000)
Pa (0.333, 0.667, 0.666)
Tm (0.667, 0.333, 0.334)


Record 10
Material: TmMg2Pa
Method: DFT, PBE-GGA
State: optimized geometry

Crystal system: trigonal
ΔE_f, meV/atom: 309
Density of states at the Fermi level, states/eV per cell: 5.64
Space-group type: R-3m (166)

Cell lengths 3.145, 3.145, 12.363 Å; angles 82.69, 82.69, 60.00 degrees
Fractional positions:
Mg (0.088, 0.088, 0.735)
Mg (0.912, 0.912, 0.265)
Pa (0.000, 0.000, 0.000)
Tm (0.500, 0.500, 0.500)


Record 11
Material: Tm2MgPa
Method: DFT, PBE-GGA
State: optimized geometry

Crystal system: trigonal
ΔE_f, meV/atom: 276
Density of states at the Fermi level, states/eV per cell: 6.14
Space-group type: R-3m (166)

Cell lengths 3.222, 3.222, 12.183 Å; angles 82.40, 82.40, 60.00 degrees
Fractional positions:
Mg (0.500, 0.500, 0.500)
Pa (0.000, 0.000, 0.000)
Tm (0.089, 0.089, 0.734)
Tm (0.911, 0.911, 0.266)


Record 12
Material: Tm2MgPa
Method: DFT, PBE-GGA
State: optimized geometry

Crystal system: tetragonal
ΔE_f, meV/atom: 43
Density of states at the Fermi level, states/eV per cell: 4.50
Space-group type: P4/mmm (123)

Cell lengths 3.379, 3.379, 9.434 Å; angles 90.00, 90.00, 90.00 degrees
Fractional positions:
Mg (0.500, 0.500, 0.000)
Pa (0.500, 0.500, 0.500)
Tm (0.000, 0.000, 0.750)
Tm (0.000, 0.000, 0.250)


> What is the density of states at the Fermi level in the ninth record?

5.23 states/eV per cell


> What is the ΔE_f in the ninth record?

134 meV/atom


> Which of these has the lowest ΔE_f?

number 7